No. 1
Compound: AlCuHg2
Source: Alexandria
Functional: PBEsol
Structure: relaxed

Geometry as POSCAR:
```
AlCuHg2
1.0
-1.287 -1.086 3.714
3.863 -0.586 1.167
-1.056 4.878 -1.179
Cu Hg Al
1 2 1
Direct
0.250 0.750 0.500
0.000 0.000 0.000
0.750 0.250 0.500
0.500 0.500 0.000
```

Values from the calculation:
Energy of formation, eV per atom: 0.167
Space-group type: I-4m2, No. 119

No. 2
Compound: Ca5Ga2As6
Source: Alexandria
Functional: PBEsol
Structure: relaxed

Geometry as POSCAR:
```
Ca5Ga2As6
1.0
4.119 0.000 0.000
0.000 11.265 0.000
0.000 0.000 13.045
As Ca Ga
12 10 4
Direct
0.000 0.155 0.596
0.500 0.838 0.679
0.000 0.979 0.094
0.000 0.345 0.096
0.500 0.338 0.821
0.500 0.162 0.321
0.500 0.662 0.179
0.000 0.479 0.406
0.000 0.521 0.594
0.000 0.021 0.906
0.000 0.655 0.904
0.000 0.845 0.404
0.500 0.000 0.500
0.500 0.326 0.516
0.500 0.500 0.000
0.500 0.411 0.251
0.500 0.826 0.984
0.500 0.589 0.749
0.500 0.174 0.016
0.500 0.911 0.249
0.500 0.674 0.484
0.500 0.089 0.751
0.000 0.672 0.287
0.000 0.328 0.713
0.000 0.172 0.213
0.000 0.828 0.787
```

Values from the calculation:
Energy of formation, eV per atom: -0.963
Space-group type: Pbam, No. 55

No. 3
Compound: TlFeOs
Source: Alexandria
Functional: PBEsol
Structure: relaxed

Geometry as POSCAR:
```
TlFeOs
1.0
-2.831 -3.131 -0.860
-0.245 -3.448 2.571
-3.436 -0.554 2.538
Fe Tl Os
1 1 1
Direct
0.500 0.500 0.500
0.000 0.000 0.000
0.250 0.250 0.250
```

Values from the calculation:
Energy of formation, eV per atom: 1.127
Energy relative to the lowest polymorph listed for this composition, eV/atom: 0.295
Space-group type: F-43m, No. 216

No. 4
Compound: Mn7CrO16
Source: Alexandria
Functional: PBEsol
Structure: relaxed

Geometry as POSCAR:
```
Mn7CrO16
1.0
5.671 0.000 0.000
0.000 5.680 -0.002
0.000 -0.019 8.031
O Cr Mn
16 1 7
Direct
0.000 0.027 0.264
0.500 0.531 0.763
0.278 0.751 0.985
0.222 0.250 0.486
0.722 0.751 0.985
0.500 0.027 0.236
0.722 0.249 0.015
0.778 0.250 0.486
0.500 0.469 0.237
0.778 0.750 0.514
0.222 0.750 0.514
0.000 0.471 0.264
0.500 0.973 0.764
0.000 0.529 0.736
0.278 0.249 0.015
0.000 0.973 0.736
0.500 0.500 0.000
0.000 0.500 0.500
0.500 0.000 0.000
0.750 0.751 0.749
0.000 0.000 0.500
0.750 0.249 0.251
0.250 0.249 0.251
0.250 0.751 0.749
```

Values from the calculation:
Space-group type: P2/m, No. 10
DFT total energy, eV/atom: -8.357

No. 5
Compound: LiTeMo2
Source: Alexandria
Functional: PBEsol
Structure: relaxed

Geometry as POSCAR:
```
LiTeMo2
1.0
2.900 -0.018 0.000
-1.072 2.695 0.000
0.000 0.000 9.006
Mo Te Li
2 1 1
Direct
0.000 0.000 0.741
0.000 0.000 0.259
0.500 0.500 0.500
0.500 0.500 0.000
```

Values from the calculation:
Space-group type: Cmmm, No. 65
DFT total energy, eV/atom: -6.370

No. 6
Compound: Li2LaSe
Source: Alexandria
Functional: PBEsol
Structure: relaxed

Geometry as POSCAR:
```
Li2LaSe
1.0
-3.410 -1.667 1.309
1.669 0.042 4.402
-1.481 4.448 0.519
Li Se La
2 1 1
Direct
0.373 0.000 0.216
0.627 0.000 0.784
0.500 0.500 0.000
0.000 0.500 0.500
```

Values from the calculation:
Space-group type: P2/m, No. 10
DFT total energy, eV/atom: -4.054

No. 7
Compound: NaFeAg2
Source: Alexandria
Functional: PBEsol
Structure: relaxed

Geometry as POSCAR:
```
NaFeAg2
1.0
-2.257 -2.626 2.928
0.005 -4.504 -0.524
2.278 -2.620 2.917
Na Ag Fe
1 2 1
Direct
0.000 0.000 0.000
0.750 0.750 0.750
0.250 0.250 0.250
0.500 0.500 0.500
```

Values from the calculation:
Energy of formation, eV per atom: 0.505
Space-group type: Fm-3m, No. 225

No. 8
Compound: BaIn2Fe
Source: Alexandria
Functional: PBEsol
Structure: relaxed

Geometry as POSCAR:
```
BaIn2Fe
1.0
3.401 0.000 0.000
0.000 3.401 0.000
0.000 0.000 8.164
Ba Fe In
1 1 2
Direct
0.500 0.500 0.000
0.500 0.500 0.500
0.000 0.000 0.322
0.000 0.000 0.678
```

Values from the calculation:
Energy of formation, eV per atom: 0.073
Space-group type: P4/mmm, No. 123

No. 9
Compound: Sr2CaTi
Source: Alexandria
Functional: PBEsol
Structure: relaxed

Geometry as POSCAR:
```
Sr2CaTi
1.0
5.949 0.000 0.000
2.974 5.152 0.000
2.974 1.717 4.857
Sr Ca Ti
2 1 1
Direct
0.750 0.750 0.750
0.250 0.250 0.250
0.000 0.000 0.000
0.500 0.500 0.500
```

Values from the calculation:
Energy of formation, eV per atom: 0.571
Space-group type: Fm-3m, No. 225

No. 10
Compound: Fe2Sb
Source: Alexandria
Functional: PBEsol
Structure: relaxed

Geometry as POSCAR:
```
Fe2Sb
1.0
2.979 0.000 0.000
0.000 4.074 0.000
0.000 -2.037 3.528
Fe Sb
2 1
Direct
0.358 0.667 0.333
0.642 0.333 0.667
0.000 0.000 0.000
```

Values from the calculation:
Space-group type: P-3m1, No. 164
DFT total energy, eV/atom: -7.181

No. 11
Compound: LiNiP2O7
Source: Alexandria
Functional: PBEsol
Structure: relaxed

Geometry as POSCAR:
```
LiNiP2O7
1.0
5.044 0.000 0.000
0.000 7.915 0.038
0.000 -3.154 12.217
P Li O Ni
8 4 28 4
Direct
0.532 0.791 0.482
0.442 0.973 0.802
0.558 0.473 0.302
0.960 0.522 0.691
0.043 0.706 0.015
0.040 0.022 0.191
0.468 0.291 0.982
0.957 0.206 0.515
0.100 0.358 0.339
0.559 0.761 0.209
0.441 0.261 0.709
0.900 0.858 0.839
0.640 0.038 0.731
0.461 0.861 0.381
0.150 0.012 0.780
0.501 0.287 0.307
0.499 0.787 0.807
0.661 0.171 0.488
0.339 0.671 0.988
0.814 0.965 0.253
0.131 0.176 0.414
0.318 0.966 0.222
0.344 0.825 0.576
0.959 0.714 0.694
0.484 0.082 0.928
0.656 0.325 0.076
0.983 0.416 0.564
0.539 0.361 0.881
0.041 0.214 0.194
0.516 0.582 0.428
0.682 0.466 0.722
0.869 0.676 0.914
0.850 0.512 0.280
0.186 0.465 0.753
0.017 0.916 0.064
0.174 0.329 0.010
0.943 0.632 0.109
0.360 0.538 0.231
0.057 0.132 0.609
0.826 0.829 0.510
0.498 0.078 0.352
0.992 0.917 0.642
0.502 0.578 0.852
0.008 0.417 0.142
```

Values from the calculation:
Energy relative to the lowest polymorph listed for this composition, eV/atom: 0.041
Space-group type: Pc, No. 7

No. 12
Compound: Tl3SiCl
Source: Alexandria
Functional: PBEsol
Structure: relaxed

Geometry as POSCAR:
```
Tl3SiCl
1.0
-2.759 -0.950 -4.741
4.792 -1.270 -2.534
-0.650 -5.336 1.447
Tl Cl Si
3 1 1
Direct
0.000 0.000 0.500
0.500 0.000 0.000
0.000 0.500 0.000
0.000 0.000 0.000
0.500 0.500 0.500
```

Values from the calculation:
Space-group type: Pm-3m, No. 221
DFT total energy, eV/atom: -2.633